InFePtO4: optimized geometry, GGA+U.

Cell lengths 6.5622, 6.5622, 6.5622 Å; angles 124.81, 123.24, 83.17 degrees
Closest atoms and distances in Å follow each position.
Sites, in units of the cell vectors:
1 In 0.0000 0.0000 0.0000  6 O 2.19-2.35
2 In 0.5000 0.0000 0.5000  6 O 2.19-2.35
3 Fe 0.4071 0.6571 0.7500  4 O 1.89-2.02
4 Fe 0.5929 0.3429 0.2500  4 O 1.89-2.02
5 Pt 0.0000 0.0000 0.5000  4 O 2.05
6 Pt 0.0000 0.5000 0.0000  4 O 2.05
7 O 0.2088 0.2390 0.9698  1 Fe 2.02, 2 Pt 2.05
8 O 0.2308 0.7610 0.4698  1 Fe 2.02, 2 Pt 2.05
9 O 0.3077 0.2921 0.4844  1 Fe 1.89
10 O 0.3077 0.8232 0.0156  1 Fe 1.89
11 O 0.6923 0.1768 0.9844  1 Fe 1.89
12 O 0.6923 0.7079 0.5156  1 Fe 1.89
13 O 0.7692 0.2390 0.5302  1 Fe 2.02, 2 Pt 2.05
14 O 0.7912 0.7610 0.0302  1 Fe 2.02, 2 Pt 2.05

Uncorrected energy in eV per cell: -82.338
Density in g cm⁻³: 7.667